This record from Alexandria via LeMat-Bulk describes a relaxed structure of AlMo2Br. The functional is PBE. Values from VASP.

Quantum ESPRESSO input file:
```
&SYSTEM
  ibrav = 0, nat = 4, ntyp = 3
/
ATOMIC_SPECIES
Al 26.98 Al.upf
Mo 95.94 Mo.upf
Br 79.90 Br.upf
ATOMIC_POSITIONS crystal
Al 0.000 0.000 0.000
Mo 0.000 0.500 0.500
Mo 0.500 0.500 0.000
Br 0.500 0.000 0.500
CELL_PARAMETERS angstrom
2.930 0.000 0.000
0.000 4.666 0.000
0.000 0.000 4.999
```

Calculated values
Energy relative to the lowest polymorph listed for this composition   480 meV per atom
Magnetization   0.0 μB per formula unit
DFT total energy   -6.1211 eV/atom
Energy relative to the elements, uncorrected   0.648 eV per atom
Fermi-level density of states   0.73 states/eV/atom